1:
Here is a geometry-optimized Li2Tl2Pt structure from the Alexandria database. Energies are from GGA-PBE.

Computed properties:
Density, g cm⁻³: 10.6
N(E_F), states/eV/f.u.: 1.48
Magnetization, μB per formula unit: 0.0

Cell: 3.645 3.645 14.536 Å, 90.00 90.00 90.00°
Space group I4/mmm (No. 139)
Asymmetric unit:
Li 0.000 0.500 0.250 x4
Tl 0.000 0.000 0.103 x4
Pt 0.000 0.000 0.500 x2

***

2:
Here is a geometry-optimized Li2Tl2Pt structure from the Alexandria database. Energies are from GGA-PBE.

Computed properties:
Density, g cm⁻³: 10.6
N(E_F), states/eV/f.u.: 2.16
Magnetization, μB per formula unit: 0.0

Cell: 6.581 6.581 4.474 Å, 90.00 90.00 90.00°
Space group P4/mbm (No. 127)
Asymmetric unit:
Li 0.145 0.355 0.000 x4
Tl 0.179 0.679 0.500 x4
Pt 0.000 0.000 0.000 x2

***

How far above the most stable structure does each one sit? In kJ/mol of atoms: 1 10.2; 2 0.0.

***

1:
Here is a geometry-optimized Li3TlPt structure from the Alexandria database. Energies are from GGA-PBE.

Computed properties:
Density, g cm⁻³: 6.2
N(E_F), states/eV/f.u.: 2.31
Magnetization, μB per formula unit: 0.0

Cell: 5.143 5.143 16.986 Å, 90.00 90.00 90.00°
Space group I-4m2 (No. 119)
Asymmetric unit:
Li 0.000 0.000 0.213 x4
Li 0.000 0.253 0.374 x8
Tl 0.000 0.500 0.561 x4
Pt 0.000 0.000 0.500 x2
Pt 0.000 0.500 0.250 x2

***

2:
Here is a geometry-optimized Li3TlPt structure from the Alexandria database. Energies are from GGA-PBE.

Computed properties:
Density, g cm⁻³: 6.5
N(E_F), states/eV/f.u.: 2.40
Magnetization, μB per formula unit: 0.0

Cell: 4.756 4.756 4.756 Å, 90.00 90.00 90.00°
Space group Pm-3m (No. 221)
Asymmetric unit:
Li 0.000 0.000 0.500 x3
Tl 0.500 0.500 0.500 x1
Pt 0.000 0.000 0.000 x1

***

3:
Here is a geometry-optimized Li3TlPt structure from the Alexandria database. Energies are from GGA-PBE.

Computed properties:
Density, g cm⁻³: 8.6
N(E_F), states/eV/f.u.: 1.86
Magnetization, μB per formula unit: 0.0

Cell: 4.861 4.869 7.570 Å, 83.34 72.19 72.63°
Space group P-1 (No. 2)
Asymmetric unit:
Li 0.054 0.245 0.407 x2
Li 0.247 0.249 0.005 x2
Li 0.436 0.259 0.615 x2
Tl 0.342 0.756 0.804 x2
Pt 0.152 0.744 0.212 x2

***

How far above the most stable structure does each one sit? In kJ/mol of atoms: 1 17.9; 2 21.0; 3 0.0.

***

1:
Here is a geometry-optimized LiTl2ZnPt structure from the Alexandria database. Energies are from GGA-PBE.

Computed properties:
Density, g cm⁻³: 9.3
N(E_F), states/eV/f.u.: 2.22
Magnetization, μB per formula unit: 0.0

Cell: 5.123 5.123 4.592 Å, 90.00 90.00 90.00°
Space group P4/mmm (No. 123)
Asymmetric unit:
Li 0.000 0.000 0.000 x1
Tl 0.000 0.500 0.500 x2
Zn 0.000 0.000 0.500 x1
Pt 0.500 0.500 0.000 x1

***

2:
Here is a geometry-optimized LiTl2ZnPt structure from the Alexandria database. Energies are from GGA-PBE.

Computed properties:
Density, g cm⁻³: 9.7
N(E_F), states/eV/f.u.: 1.93
Magnetization, μB per formula unit: 0.0

Cell: 5.100 5.100 4.442 Å, 90.00 90.00 90.00°
Space group P4/mmm (No. 123)
Asymmetric unit:
Li 0.000 0.000 0.000 x1
Tl 0.000 0.500 0.000 x2
Zn 0.500 0.500 0.500 x1
Pt 0.000 0.000 0.500 x1

***

How far above the most stable structure does each one sit? In kJ/mol of atoms: 1 17.6; 2 0.0.

***

1:
Here is a geometry-optimized Li2TmPt3 structure from the Alexandria database. Energies are from GGA-PBE.

Computed properties:
Density, g cm⁻³: 13.3
N(E_F), states/eV/f.u.: 2.64
Magnetization, μB per formula unit: 0.0

Cell: 4.4554 4.4554 5.5604 Å, 90.00 90.00 120.00°
Space group P-3m1 (No. 164)
Asymmetric unit:
Li 0.3333 0.6667 0.1680 x2
Tm 0.0000 0.0000 0.5000 x1
Pt 0.0000 0.0000 0.0000 x1
Pt 0.3333 0.6667 0.7045 x2

***

2:
Here is a geometry-optimized Li2TmPt3 structure from the Alexandria database. Energies are from GGA-PBE.

Computed properties:
Density, g cm⁻³: 13.6
N(E_F), states/eV/f.u.: 1.74
Magnetization, μB per formula unit: 0.0

Cell: 4.258 12.787 6.914 Å, 90.00 90.00 90.00°
Space group Cmmm (No. 65)
Asymmetric unit:
Li 0.000 0.000 0.000 x2
Li 0.000 0.000 0.500 x2
Li 0.000 0.330 0.000 x4
Tm 0.000 0.346 0.500 x4
Pt 0.000 0.165 0.229 x8
Pt 0.000 0.500 0.219 x4

***

How far above the most stable structure does each one sit? In kJ/mol of atoms: 1 3.0; 2 0.0.